{
  "formula": "NiH16C4S4N8Cl2",
  "functional": "meta-GGA SCAN",
  "state": "single point on PBEsol structure",
  "lattice_angstrom": [[8.0400, 0.1510, 0.0000], [-3.0318, 7.4480, 0.0000], [-2.5041, -3.7995, 6.6300]],
  "species": ["C", "C", "C", "C", "S", "S", "S", "S", "N", "N", "N", "N", "N", "N", "N", "N", "H", "H", "H", "H", "H", "H", "H", "H", "H", "H", "H", "H", "H", "H", "H", "H", "Cl", "Cl", "Ni"],
  "frac_coords": [[0.4033, 0.2290, 0.4813], [0.7477, 0.9220, 0.5187], [0.2290, 0.7477, 0.8256], [0.9220, 0.4033, 0.1744], [0.2099, 0.9898, 0.2835], [0.9264, 0.2099, 0.2201], [0.9898, 0.7063, 0.7799], [0.7063, 0.9264, 0.7165], [0.8637, 0.5193, 0.2710], [0.2482, 0.5927, 0.7290], [0.5927, 0.8637, 0.3445], [0.4363, 0.3959, 0.4647], [0.9716, 0.4363, 0.0404], [0.3959, 0.9312, 0.9596], [0.5193, 0.2482, 0.6555], [0.9312, 0.9716, 0.5353], [0.5536, 0.5409, 0.5780], [0.3550, 0.3764, 0.3249], [0.1229, 0.4552, 0.6128], [0.5409, 0.9628, 0.9873], [0.6134, 0.8489, 0.2221], [0.4552, 0.8424, 0.3323], [0.6268, 0.3914, 0.7779], [0.5101, 0.1229, 0.6677], [0.8424, 0.5101, 0.3872], [0.0514, 0.0301, 0.6751], [0.0301, 0.3550, 0.9787], [0.3914, 0.6134, 0.7646], [0.8489, 0.6268, 0.2354], [0.9755, 0.5536, 0.0127], [0.9628, 0.9755, 0.4220], [0.3764, 0.0514, 0.0213], [0.2494, 0.2494, 0.0000], [0.7185, 0.7185, 0.0000], [0.9884, 0.9884, 0.0000]],
  "final_energy_ev_per_atom": -7.22
}

---

{
  "formula": "Cu2TcBr",
  "functional": "meta-GGA SCAN",
  "state": "single point on PBEsol structure",
  "lattice_angstrom": [[-2.2777, -0.9446, -1.1298], [1.3628, -2.1407, -0.9575], [-1.7805, -4.3751, 7.2472]],
  "species": ["Cu", "Cu", "Tc", "Br"],
  "frac_coords": [[0.0000, 0.0000, 0.7971], [0.0000, 0.0000, 0.2029], [0.5000, 0.5000, 0.0000], [0.5000, 0.5000, 0.5000]],
  "formation_energy_uncorrected_ev_per_atom": 0.644,
  "relative_energy_kcal_per_mol_atoms": 0.00
}

---

{
  "formula": "NiRuS3",
  "functional": "meta-GGA SCAN",
  "state": "single point on PBEsol structure",
  "lattice_angstrom": [[-2.2059, -3.1745, -2.3240], [1.1776, -3.0750, 3.0826], [-3.7539, 0.9008, 2.3326]],
  "species": ["Ni", "Ru", "S", "S", "S"],
  "frac_coords": [[0.5000, 0.5000, 0.5000], [0.0000, 0.0000, 0.0000], [0.0000, 0.0000, 0.5000], [0.0000, 0.5000, 0.0000], [0.5000, 0.0000, 0.0000]],
  "formation_energy_uncorrected_ev_per_atom": 0.769
}

---

{
  "formula": "Mg3NbRu",
  "functional": "meta-GGA SCAN",
  "state": "single point on PBEsol structure",
  "lattice_angstrom": [[-0.2807, 3.1343, 4.0102], [-4.6940, -1.7122, 1.0097], [1.9678, -3.6372, 2.9805]],
  "species": ["Nb", "Mg", "Mg", "Mg", "Ru"],
  "frac_coords": [[0.0000, 0.0000, 0.0000], [0.5000, 0.0000, 0.0000], [0.0000, 0.0000, 0.5000], [0.0000, 0.5000, 0.0000], [0.5000, 0.5000, 0.5000]],
  "ef_ev_per_atom": 1.819
}

---

{
  "formula": "NaSeS2Cl",
  "functional": "meta-GGA SCAN",
  "state": "single point on PBEsol structure",
  "lattice_angstrom": [[4.7797, 0.0000, 0.0000], [0.0000, 4.7797, 0.0000], [0.0000, 0.0000, 5.1346]],
  "species": ["Se", "Na", "Cl", "S", "S"],
  "frac_coords": [[0.0000, 0.0000, 0.0000], [0.5000, 0.5000, 0.5000], [0.0000, 0.0000, 0.5000], [0.5000, 0.0000, 0.0000], [0.0000, 0.5000, 0.0000]],
  "formation_energy_uncorrected_ev_per_atom": -0.193
}

---

{
  "formula": "Sc2CoPt",
  "functional": "meta-GGA SCAN",
  "state": "single point on PBEsol structure",
  "lattice_angstrom": [[3.1596, 0.0000, 0.0000], [0.0000, 3.1596, 0.0000], [0.0000, 0.0000, 6.3575]],
  "species": ["Sc", "Sc", "Co", "Pt"],
  "frac_coords": [[0.0000, 0.0000, 0.7640], [0.0000, 0.0000, 0.2360], [0.5000, 0.5000, 0.0000], [0.5000, 0.5000, 0.5000]],
  "ef_ev_per_atom": -0.961
}

---

{
  "formula": "Co2H2Ru",
  "functional": "meta-GGA SCAN",
  "state": "single point on PBEsol structure",
  "lattice_angstrom": [[2.6217, 0.0000, 0.0000], [0.0000, 5.5514, 0.0000], [0.0000, 0.0000, 5.5514]],
  "species": ["H", "H", "H", "H", "Ru", "Ru", "Co", "Co", "Co", "Co"],
  "frac_coords": [[0.0000, 0.2130, 0.2870], [0.0000, 0.7130, 0.2130], [0.0000, 0.2870, 0.7870], [0.0000, 0.7870, 0.7130], [0.0000, 0.5000, 0.5000], [0.0000, 0.0000, 0.0000], [0.5000, 0.3575, 0.1425], [0.5000, 0.8575, 0.3575], [0.5000, 0.1425, 0.6425], [0.5000, 0.6425, 0.8575]],
  "final_energy_ev_per_atom": -14.84
}

---

{
  "formula": "Sr2FeRh",
  "functional": "meta-GGA SCAN",
  "state": "single point on PBEsol structure",
  "lattice_angstrom": [[-0.6475, -1.0007, -3.3605], [-1.1587, -3.3017, -0.6851], [-9.0766, 1.3745, -0.5521]],
  "species": ["Fe", "Rh", "Sr", "Sr"],
  "frac_coords": [[0.5000, 0.5000, 0.5000], [0.0000, 0.0000, 0.0000], [0.2565, 0.2565, 0.2304], [0.7435, 0.7435, 0.7696]],
  "ef_ev_per_atom": 0.622
}